No. 1
Density functional theory data (PBE) for an optimized crystal structure of VH2OsCl.

Cell lengths 3.451, 4.463, 3.451 Å; angles 90.00, 90.00, 90.00 degrees
Element x y z (fractional)
H 0.000 0.000 0.500
H 0.500 0.000 0.000
Cl 0.000 0.500 0.000
Os 0.500 0.500 0.500
V 0.000 0.000 0.000

Computed properties:
- Symmetry: P4/mmm, No. 123
- Final energy: -0.3525 Ry per atom
- Total magnetic moment: 0.0 μB/f.u.

No. 2
Density functional theory data (PBE) for an optimized crystal structure of SrAg3Pb3.

Cell lengths 7.868, 7.868, 7.868 Å; angles 90.00, 90.00, 90.00 degrees
Element x y z (fractional)
Pb 0.000 0.250 0.500
Pb 0.000 0.750 0.500
Pb 0.500 0.000 0.750
Pb 0.750 0.500 0.000
Pb 0.500 0.000 0.250
Pb 0.250 0.500 0.000
Sr 0.500 0.500 0.500
Sr 0.000 0.000 0.000
Ag 0.250 0.000 0.500
Ag 0.000 0.500 0.250
Ag 0.500 0.750 0.000
Ag 0.750 0.000 0.500
Ag 0.000 0.500 0.750
Ag 0.500 0.250 0.000

Computed properties:
- Polymorph energy (0 for the lowest one): 342.3 meV/atom
- ΔE_f: 0.20 eV per atom
- Symmetry: Pm-3n, No. 223
- Final energy: -0.2093 Ry per atom
- Total magnetic moment: 0.0 μB/f.u.

No. 3
Density functional theory data (PBE) for an optimized crystal structure of FeCo2Os.

Cell lengths 2.606, 2.606, 7.007 Å; angles 90.00, 90.00, 90.00 degrees
Site moments in Bohr magnetons follow the coordinates.
Element x y z (fractional)
Co 0.000 0.000 0.753  0.70
Co 0.000 0.000 0.247  0.70
Os 0.500 0.500 0.500  -0.11
Fe 0.500 0.500 0.000  2.65

Computed properties:
- Polymorph energy (0 for the lowest one): 22.2 meV/atom
- ΔE_f: 0.12 eV per atom
- Symmetry: P4/mmm, No. 123
- Final energy: -0.6145 Ry per atom
- Total magnetic moment: 3.9 μB/f.u.

No. 4
Density functional theory data (PBE) for an optimized crystal structure of CaSnSeS.

Cell lengths 4.171, 4.210, 5.909 Å; angles 89.95, 90.00, 90.00 degrees
Element x y z (fractional)
Ca 0.000 0.894 0.093
Sn 0.500 0.362 0.592
Se 0.500 0.391 0.092
S 0.000 0.919 0.593

Computed properties:
- Symmetry: Pmm2, No. 25
- Final energy: -0.3412 Ry per atom
- Formation energy (no corrections): -4.95 eV per formula unit
- Total magnetic moment: 0.0 μB/f.u.

No. 5
Density functional theory data (PBE) for an optimized crystal structure of CaBe2Mo.

Cell lengths 2.809, 2.821, 7.471 Å; angles 90.00, 90.00, 90.00 degrees
Element x y z (fractional)
Be 0.000 0.000 0.038
Be 0.500 0.500 0.168
Mo 0.500 0.500 0.822
Ca 0.000 0.000 0.472

Computed properties:
- Polymorph energy (0 for the lowest one): 183.4 meV/atom
- ΔE_f: 0.44 eV per atom
- Symmetry: Pmm2, No. 25
- Final energy: -0.3401 Ry per atom
- Total magnetic moment: 0.0 μB/f.u.

No. 6
Density functional theory data (PBE) for an optimized crystal structure of GaSn2Pd8.

Cell lengths 4.168, 7.370, 7.334 Å; angles 120.16, 106.51, 90.00 degrees
Element x y z (fractional)
Pd 0.658 0.896 0.317
Pd 0.342 0.579 0.683
Pd 0.147 0.147 0.295
Pd 0.000 0.290 0.000
Pd 0.853 0.853 0.705
Pd 0.658 0.421 0.317
Pd 0.342 0.104 0.683
Pd 0.000 0.710 0.000
Sn 0.182 0.682 0.363
Sn 0.818 0.318 0.637
Ga 0.500 0.000 0.000

Computed properties:
- Polymorph energy (0 for the lowest one): 0.0 meV/atom
- ΔE_f: -0.48 eV per atom
- Symmetry: Immm, No. 71
- Final energy: -0.3863 Ry per atom
- Total magnetic moment: 0.0 μB/f.u.

No. 7
Density functional theory data (PBE) for an optimized crystal structure of CsGaPb.

Cell lengths 5.093, 5.093, 8.971 Å; angles 90.00, 90.00, 90.00 degrees
Element x y z (fractional)
Cs 0.750 0.750 0.324
Cs 0.250 0.250 0.676
Ga 0.250 0.750 0.000
Ga 0.750 0.250 0.000
Pb 0.250 0.250 0.172
Pb 0.750 0.750 0.828

Computed properties:
- ΔE_f: -0.14 eV per atom
- Symmetry: P4/nmm, No. 129
- Final energy: -0.1961 Ry per atom
- Total magnetic moment: 0.0 μB/f.u.

No. 8
Density functional theory data (PBE) for an optimized crystal structure of GaBiAs3.

Cell lengths 5.489, 5.489, 5.489 Å; angles 90.00, 90.00, 90.00 degrees
Element x y z (fractional)
As 0.000 0.500 0.000
As 0.000 0.000 0.500
As 0.500 0.000 0.000
Bi 0.000 0.000 0.000
Ga 0.500 0.500 0.500

Computed properties:
- Polymorph energy (0 for the lowest one): 470.9 meV/atom
- ΔE_f: 1.00 eV per atom
- Symmetry: Pm-3m, No. 221
- Final energy: -0.2332 Ry per atom
- Total magnetic moment: 0.0 μB/f.u.

No. 9
Density functional theory data (PBE) for an optimized crystal structure of Y2Si2Cl.

Cell lengths 7.605, 7.605, 3.965 Å; angles 90.00, 90.00, 90.00 degrees
Element x y z (fractional)
Y 0.317 0.817 0.000
Y 0.817 0.683 0.000
Y 0.683 0.183 0.000
Y 0.183 0.317 0.000
Si 0.108 0.608 0.500
Si 0.608 0.892 0.500
Si 0.892 0.392 0.500
Si 0.392 0.108 0.500
Cl 0.000 0.000 0.000
Cl 0.500 0.500 0.000

Computed properties:
- Symmetry: P4/mbm, No. 127
- Final energy: -0.4486 Ry per atom
- Formation energy (no corrections): -4.90 eV per formula unit
- Total magnetic moment: 0.0 μB/f.u.

No. 10
Density functional theory data (PBE) for an optimized crystal structure of KSbPtAu.

Cell lengths 3.966, 3.966, 13.868 Å; angles 90.00, 90.00, 90.00 degrees
Element x y z (fractional)
K 0.750 0.750 0.299
K 0.250 0.250 0.701
Sb 0.750 0.750 0.868
Sb 0.250 0.250 0.132
Pt 0.750 0.250 0.000
Pt 0.250 0.750 0.000
Au 0.250 0.750 0.500
Au 0.750 0.250 0.500

Computed properties:
- Symmetry: P4/nmm, No. 129
- Final energy: -0.2900 Ry per atom
- Formation energy (no corrections): -1.24 eV per formula unit
- Total magnetic moment: 0.0 μB/f.u.

No. 11
Density functional theory data (PBE) for an optimized crystal structure of In2ReTe.

Cell lengths 10.691, 10.691, 10.691 Å; angles 17.53, 17.53, 17.53 degrees
Element x y z (fractional)
In 0.990 0.990 0.990
In 0.237 0.237 0.237
Re 0.500 0.500 0.500
Te 0.773 0.773 0.773

Computed properties:
- Symmetry: R3m, No. 160
- Final energy: -0.3631 Ry per atom
- Formation energy (no corrections): 1.30 eV per formula unit
- Total magnetic moment: 0.0 μB/f.u.

No. 12
Density functional theory data (PBE) for an optimized crystal structure of Er5MgAl.

Cell lengths 5.671, 5.671, 12.521 Å; angles 95.62, 95.62, 83.79 degrees
Element x y z (fractional)
Er 0.110 0.434 0.126
Er 0.194 0.468 0.412
Er 0.434 0.110 0.626
Er 0.041 0.959 0.250
Er 0.532 0.806 0.088
Er 0.468 0.194 0.912
Er 0.959 0.041 0.750
Er 0.566 0.890 0.374
Er 0.806 0.532 0.588
Er 0.890 0.566 0.874
Mg 0.635 0.365 0.250
Mg 0.365 0.635 0.750
Al 0.000 0.000 0.000
Al 0.000 0.000 0.500

Computed properties:
- ΔE_f: 0.03 eV per atom
- Symmetry: C2/c, No. 15
- Final energy: -0.2931 Ry per atom
- Total magnetic moment: 0.0 μB/f.u.

No. 13
Density functional theory data (PBE) for an optimized crystal structure of TeAs2IrF.

Cell lengths 5.371, 4.840, 5.371 Å; angles 90.00, 90.00, 90.00 degrees
Element x y z (fractional)
As 0.000 0.000 0.500
As 0.500 0.000 0.000
Ir 0.000 0.500 0.000
Te 0.000 0.000 0.000
F 0.500 0.500 0.500

Computed properties:
- Symmetry: P4/mmm, No. 123
- Final energy: -0.2571 Ry per atom
- Formation energy (no corrections): 5.68 eV per formula unit
- Total magnetic moment: 0.0 μB/f.u.

No. 14
Density functional theory data (PBE) for an optimized crystal structure of ScNi2N.

Cell lengths 4.392, 4.392, 6.593 Å; angles 70.54, 70.54, 90.00 degrees
Element x y z (fractional)
Sc 0.000 0.000 0.000
Sc 0.750 0.250 0.500
Ni 0.460 0.125 0.250
Ni 0.290 0.625 0.250
Ni 0.375 0.540 0.750
Ni 0.875 0.710 0.750
N 0.500 0.500 0.000
N 0.250 0.750 0.500

Computed properties:
- Symmetry: I-42d, No. 122
- Final energy: -0.4876 Ry per atom
- Formation energy (no corrections): -0.32 eV per formula unit
- Total magnetic moment: 0.0 μB/f.u.

No. 15
Density functional theory data (PBE) for an optimized crystal structure of Sr2ZnGa3Pt4.

Cell lengths 4.433, 4.433, 10.299 Å; angles 90.00, 90.00, 90.00 degrees
Element x y z (fractional)
Sr 0.500 0.000 0.247
Sr 0.000 0.500 0.753
Zn 0.500 0.500 0.500
Ga 0.000 0.000 0.500
Ga 0.500 0.000 0.876
Ga 0.000 0.500 0.124
Pt 0.500 0.500 0.000
Pt 0.000 0.000 0.000
Pt 0.500 0.000 0.631
Pt 0.000 0.500 0.369

Computed properties:
- ΔE_f: -0.84 eV per atom
- Symmetry: P-4m2, No. 115
- Final energy: -0.3403 Ry per atom
- Total magnetic moment: 0.0 μB/f.u.

No. 16
Density functional theory data (PBE) for an optimized crystal structure of Cu3RuRh12.

Cell lengths 3.822, 3.822, 15.239 Å; angles 90.00, 90.00, 90.00 degrees
Element x y z (fractional)
Cu 0.000 0.000 0.251
Cu 0.000 0.000 0.500
Cu 0.000 0.000 0.749
Ru 0.000 0.000 0.000
Rh 0.500 0.500 0.000
Rh 0.500 0.500 0.251
Rh 0.500 0.500 0.500
Rh 0.500 0.500 0.749
Rh 0.500 0.000 0.125
Rh 0.500 0.000 0.376
Rh 0.500 0.000 0.624
Rh 0.500 0.000 0.875
Rh 0.000 0.500 0.125
Rh 0.000 0.500 0.376
Rh 0.000 0.500 0.624
Rh 0.000 0.500 0.875

Computed properties:
- ΔE_f: 0.07 eV per atom
- Symmetry: P4/mmm, No. 123
- Final energy: -0.4994 Ry per atom
- Total magnetic moment: 0.0 μB/f.u.

No. 17
Density functional theory data (PBE) for an optimized crystal structure of AcTh2Co.

Cell lengths 3.847, 3.847, 10.650 Å; angles 79.59, 79.59, 60.00 degrees
Element x y z (fractional)
Ac 0.000 0.000 0.000
Co 0.500 0.500 0.500
Th 0.117 0.117 0.649
Th 0.883 0.883 0.351

Computed properties:
- Polymorph energy (0 for the lowest one): 145.3 meV/atom
- ΔE_f: 0.06 eV per atom
- Symmetry: R-3m, No. 166
- Final energy: -0.4746 Ry per atom
- Total magnetic moment: 0.0 μB/f.u.

No. 18
Density functional theory data (PBE) for an optimized crystal structure of Tb11Nd4Dy9.

Cell lengths 3.697, 15.142, 15.142 Å; angles 112.74, 90.00, 90.00 degrees
Element x y z (fractional)
Tb 0.000 0.593 0.955
Tb 0.000 0.407 0.045
Tb 0.000 0.955 0.593
Tb 0.000 0.045 0.407
Tb 0.000 0.635 0.365
Tb 0.000 0.365 0.635
Tb 0.000 0.841 0.159
Tb 0.000 0.159 0.841
Tb 0.000 0.000 0.000
Tb 0.000 0.712 0.712
Tb 0.000 0.288 0.288
Nd 0.500 0.554 0.755
Nd 0.500 0.446 0.245
Nd 0.500 0.755 0.554
Nd 0.500 0.245 0.446
Dy 0.500 0.635 0.162
Dy 0.500 0.365 0.838
Dy 0.500 0.162 0.635
Dy 0.500 0.838 0.365
Dy 0.500 0.788 0.934
Dy 0.500 0.212 0.066
Dy 0.500 0.934 0.788
Dy 0.500 0.066 0.212
Dy 0.500 0.500 0.500

Computed properties:
- ΔE_f: 0.06 eV per atom
- Symmetry: Cmmm, No. 65
- Final energy: -0.3368 Ry per atom
- Total magnetic moment: 0.0 μB/f.u.

No. 19
Density functional theory data (PBE) for an optimized crystal structure of LaBiPt2.

Cell lengths 5.599, 5.599, 8.737 Å; angles 71.31, 71.31, 90.00 degrees
Element x y z (fractional)
Bi 0.000 0.000 0.000
Bi 0.750 0.250 0.500
Pt 0.663 0.125 0.250
Pt 0.087 0.625 0.250
Pt 0.375 0.337 0.750
Pt 0.875 0.913 0.750
La 0.500 0.500 0.000
La 0.250 0.750 0.500

Computed properties:
- ΔE_f: -0.47 eV per atom
- Symmetry: I-42d, No. 122
- Final energy: -0.4183 Ry per atom
- Total magnetic moment: 0.0 μB/f.u.

No. 20
Density functional theory data (PBE) for an optimized crystal structure of AcSm2Cd4.

Cell lengths 5.367, 5.367, 8.743 Å; angles 107.87, 107.87, 90.00 degrees
Site moments in Bohr magnetons follow the coordinates.
Element x y z (fractional)
Ac 0.000 0.000 0.000  -0.01
Sm 0.746 0.746 0.493  0.12
Sm 0.254 0.254 0.507  0.12
Cd 0.369 0.869 0.738  0.00
Cd 0.869 0.369 0.738  0.00
Cd 0.631 0.131 0.262  0.00
Cd 0.131 0.631 0.262  0.00

Computed properties:
- ΔE_f: -0.13 eV per atom
- Symmetry: I4/mmm, No. 139
- Final energy: -0.1904 Ry per atom
- Total magnetic moment: 0.4 μB/f.u.

No. 21
Density functional theory data (PBE) for an optimized crystal structure of LaNd5Mg3.

Cell lengths 7.146, 9.685, 9.685 Å; angles 120.00, 90.00, 90.00 degrees
Element x y z (fractional)
La 0.000 0.000 0.000
La 0.500 0.000 0.000
Nd 0.000 0.667 0.333
Nd 0.500 0.333 0.667
Nd 0.000 0.333 0.667
Nd 0.500 0.667 0.333
Nd 0.750 0.667 0.667
Nd 0.750 0.000 0.333
Nd 0.750 0.333 0.000
Nd 0.250 0.333 0.333
Nd 0.250 0.000 0.667
Nd 0.250 0.667 0.000
Mg 0.750 0.336 0.336
Mg 0.750 0.000 0.664
Mg 0.750 0.664 0.000
Mg 0.250 0.664 0.664
Mg 0.250 0.000 0.336
Mg 0.250 0.336 0.000

Computed properties:
- ΔE_f: 0.01 eV per atom
- Symmetry: P6_3/mcm, No. 193
- Final energy: -0.2735 Ry per atom
- Total magnetic moment: 0.0 μB/f.u.

No. 22
Density functional theory data (PBE) for an optimized crystal structure of ZnIn5.

Cell lengths 3.613, 5.437, 8.301 Å; angles 109.12, 90.00, 90.00 degrees
Element x y z (fractional)
Zn 0.000 0.000 0.000
In 0.000 0.678 0.357
In 0.000 0.322 0.643
In 0.500 0.500 0.000
In 0.500 0.145 0.290
In 0.500 0.855 0.710

Computed properties:
- ΔE_f: 0.06 eV per atom
- Symmetry: Cmmm, No. 65
- Final energy: -0.1788 Ry per atom
- Total magnetic moment: 0.0 μB/f.u.

No. 23
Density functional theory data (PBE) for an optimized crystal structure of Hf3ZrNi.

Cell lengths 4.826, 4.826, 4.826 Å; angles 90.00, 90.00, 90.00 degrees
Element x y z (fractional)
Ni 0.000 0.000 0.000
Hf 0.000 0.500 0.000
Hf 0.000 0.000 0.500
Hf 0.500 0.000 0.000
Zr 0.500 0.500 0.500

Computed properties:
- Polymorph energy (0 for the lowest one): 333.7 meV/atom
- ΔE_f: 0.25 eV per atom
- Symmetry: Pm-3m, No. 221
- Final energy: -0.6315 Ry per atom
- Total magnetic moment: 0.0 μB/f.u.

No. 24
Density functional theory data (PBE) for an optimized crystal structure of Rb2ErBe2Se4.

Cell lengths 3.861, 7.959, 9.404 Å; angles 116.80, 101.85, 90.00 degrees
Element x y z (fractional)
Rb 0.138 0.606 0.276
Rb 0.862 0.394 0.724
Er 0.000 0.000 0.000
Be 0.630 0.039 0.259
Be 0.370 0.961 0.741
Se 0.179 0.184 0.359
Se 0.821 0.816 0.641
Se 0.523 0.765 0.046
Se 0.477 0.235 0.954

Computed properties:
- Symmetry: C2/m, No. 12
- Final energy: -0.3084 Ry per atom
- Formation energy (no corrections): -9.88 eV per formula unit
- Total magnetic moment: 0.0 μB/f.u.